# La3As2H | Alexandria via LeMat-Bulk | GGA-PBE | optimized geometry
# - DFT total energy: -136.52 eV/cell
# - Distance to the lowest polymorph of the same formula: 86 meV per atom
# - Fermi-level density of states: 13.63 states/eV/cell
data_La3As2H
_chemical_formula_sum 'La12 As8 H4'
_cell_length_a 13.325
_cell_length_b 6.041
_cell_length_c 8.537
_cell_angle_alpha 90.00
_cell_angle_beta 108.65
_cell_angle_gamma 90.00
_space_group_name_H-M_alt 'C 1 2/c 1'
_space_group_IT_number 15
loop_
_space_group_symop_operation_xyz
'x,y,z'
'-x,-y,-z'
'-x,y,-z+1/2'
'x,-y,z+1/2'
'x+1/2,y+1/2,z'
'-x+1/2,-y+1/2,-z'
'-x+1/2,y+1/2,-z+1/2'
'x+1/2,-y+1/2,z+1/2'
loop_
_atom_site_label
_atom_site_type_symbol
_atom_site_fract_x
_atom_site_fract_y
_atom_site_fract_z
La1 La 0.000 0.018 0.250
La2 La 0.167 0.499 0.584
As1 As 0.169 0.000 0.084
H1 H 0.000 0.465 0.250